SrPmCd (PBE-GGA, optimized geometry); distance to the lowest polymorph of the same formula = 3.509 kcal/mol of atoms; crystal system = trigonal; uncorrected energy = -7.36 eV/cell; space-group type = P3m1, No. 156; energy of formation = 0.0 eV per formula unit
1.0
5.501 0.000 0.000
-2.751 4.764 0.000
0.000 0.000 4.021
Sr Pm Cd
1 1 1
Cartesian
0.000 0.000 0.000
0.000 3.176 2.171
2.751 1.588 1.505